## La3Mg3Pt2Au (PBE-GGA)

Data for a relaxed La3Mg3Pt2Au crystal.

The structure in CIF format:
```
data_La3Mg3Pt2Au
_chemical_formula_sum 'La3 Mg3 Pt2 Au1'
_symmetry_space_group_name_H-M 'P 1'
_symmetry_Int_Tables_number 1
_cell_length_a 7.7319
_cell_length_b 7.7319
_cell_length_c 4.1812
_cell_angle_alpha 90.00
_cell_angle_beta 90.00
_cell_angle_gamma 120.00
loop_
_symmetry_equiv_pos_as_xyz
'x,y,z'
loop_
_atom_site_label
_atom_site_type_symbol
_atom_site_fract_x
_atom_site_fract_y
_atom_site_fract_z
Au1 Au 0.0000 0.0000 0.0000
La1 La 0.4194 0.0000 0.0000
La2 La 0.0000 0.4194 0.0000
La3 La 0.5806 0.5806 0.0000
Mg1 Mg 0.7575 0.0000 0.5000
Mg2 Mg 0.2425 0.2425 0.5000
Mg3 Mg 0.0000 0.7575 0.5000
Pt1 Pt 0.6667 0.3333 0.5000
Pt2 Pt 0.3333 0.6667 0.5000
```

Summary:
The value obtained for the total energy is -4.7121 eV per atom. The total magnetization comes out at 0.0 μB per formula unit.